Pr2Nd3Tm8 | Alexandria | PBE-GGA | optimized geometry; E above lowest polymorph = 9.72 kJ per mole of atoms
1.0
-4.063 -3.140 -1.231
-1.265 -1.464 7.911
-5.408 8.840 -4.702
Tm Pr Nd
8 2 3
direct
0.500 0.568 0.681
0.000 0.922 0.767
0.500 0.432 0.319
0.000 0.766 0.381
0.000 0.078 0.233
0.000 0.234 0.619
0.500 0.680 0.146
0.500 0.320 0.854
0.500 0.075 0.398
0.500 0.925 0.602
0.500 0.000 0.000
0.000 0.658 0.932
0.000 0.342 0.068



Pr5NdTm3 | Alexandria | PBE-GGA | optimized geometry; E above lowest polymorph = 1.84 kJ per mole of atoms
1.0
-0.234 9.257 -0.215
-4.846 0.061 7.894
8.789 -4.412 -0.005
Tm Pr Nd
6 10 2
direct
0.250 0.250 0.500
0.389 0.889 0.000
0.889 0.611 0.000
0.611 0.111 0.000
0.750 0.750 0.500
0.111 0.389 0.000
0.500 0.500 0.000
0.932 0.432 0.265
0.168 0.068 0.735
0.068 0.568 0.735
0.668 0.168 0.735
0.432 0.332 0.265
0.332 0.832 0.265
0.832 0.932 0.265
0.000 0.000 0.000
0.568 0.668 0.735
0.750 0.250 0.500
0.250 0.750 0.500



Formation energy from the elements for every record listed, in sequence, given in kJ per mole of atoms: 16; 29.